# NiI2F

NiI2F after structural relaxation (GGA+U, the Alexandria database).

The electronic total energy is -1.936 eV per atom. For the energy above the most stable polymorph in this dataset, the calculation gives 0 meV/atom.

a = 6.560 Å, b = 6.560 Å, c = 7.179 Å
α = 62.81°, β = 62.81°, γ = 90.00°
Atoms (fractional coordinates):
I  0.655  0.125  0.250
I  0.095  0.625  0.250
I  0.375  0.345  0.750
I  0.875  0.905  0.750
Ni  0.000  0.000  0.000
Ni  0.750  0.250  0.500
F  0.500  0.500  0.000
F  0.250  0.750  0.500